(1)
Material: TlCd2Pt2
Method: DFT, PBE
State: relaxed

Lattice parameters (Å, degrees): 4.0805 4.0805 7.0815 73.26 73.26 90.00
Last column: nearest neighbours and their distance in Å.
Positions (direct):
Pt: 0.3986 0.3986 0.2028  1 Pt 2.62, 4 Cd 2.80
Tl: 0.0000 0.0000 0.0000  8 Pt 3.17
Cd: 0.2500 0.7500 0.5000  4 Pt 2.80, 4 Cd 2.89
Cd: 0.7500 0.2500 0.5000  4 Pt 2.80, 4 Cd 2.89
Pt: 0.6014 0.6014 0.7972  1 Pt 2.62, 4 Cd 2.80

**DFT total energy**: -3.341 eV per atom
**Volume**: 21.5 Å³/atom
**Energy of formation from the pure elements**: -0.085 eV/atom

=====

(2)
Material: SmRu2W
Method: DFT, PBE
State: relaxed

Lattice parameters (Å, degrees): 3.1292 3.1292 7.3719 90.00 90.00 90.00
Last column: nearest neighbours and their distance in Å.
Positions (direct):
W: 0.5000 0.5000 0.0000  8 Ru 2.66
Ru: 0.0000 0.0000 0.8004  4 W 2.66, 1 Ru 2.94
Ru: 0.0000 0.0000 0.1996  4 W 2.66, 1 Ru 2.94
Sm: 0.5000 0.5000 0.5000  4 Sm 3.13, 8 Ru 3.13

**DFT total energy**: -9.078 eV per atom
**Volume**: 18.0 Å³/atom
**Energy of formation from the pure elements**: -0.022 eV/atom

=====

(3)
Material: Li2AlIn
Method: DFT, PBE
State: relaxed

Lattice parameters (Å, degrees): 5.1999 5.1999 5.1999 136.54 130.05 68.32
Last column: nearest neighbours and their distance in Å.
Positions (direct):
In: 0.2465 0.7465 0.5000  8 Li 2.89-3.07, 4 Al 2.95-3.02
Li: 0.7526 0.2526 0.5000  4 Li 2.84-3.12, 4 Al 2.87-3.09, 4 In 2.92
Li: 0.9953 0.9953 0.0000  4 Li 2.84-3.12, 4 In 2.89-3.07, 4 Al 2.92
Al: 0.5056 0.5056 0.0000  8 Li 2.87-3.09, 4 In 2.95-3.02

**DFT total energy**: -2.711 eV per atom
**Volume**: 18.2 Å³/atom
**Energy of formation from the pure elements**: -0.134 eV/atom

=====

(4)
Material: YAl2Ge
Method: DFT, PBE
State: relaxed

Lattice parameters (Å, degrees): 4.3862 4.2281 4.2281 90.00 90.00 90.00
Last column: nearest neighbours and their distance in Å.
Positions (direct):
Al: 0.0000 0.0000 0.5000  4 Al 2.99, 4 Ge 3.05, 4 Y 3.05
Al: 0.0000 0.5000 0.0000  4 Al 2.99, 4 Ge 3.05, 4 Y 3.05
Y: 0.5000 0.5000 0.5000  4 Ge 2.99, 8 Al 3.05
Ge: 0.5000 0.0000 0.0000  4 Y 2.99, 8 Al 3.05

**DFT total energy**: -5.061 eV per atom
**Volume**: 19.6 Å³/atom
**Energy of formation from the pure elements**: -0.420 eV/atom

=====

(5)
Material: NaDy4Se6
Method: DFT, PBE
State: relaxed

Lattice parameters (Å, degrees): 4.0817 7.0785 21.3087 90.00 90.00 106.76
Last column: nearest neighbours and their distance in Å.
Positions (direct):
Na: 0.3413 0.6827 0.7500  6 Se 2.95-3.21
Dy: 0.5951 0.1901 0.6363  5 Se 2.71-2.95
Se: 0.5000 0.0000 0.0000  6 Dy 2.88-3.18
Se: 0.9574 0.9149 0.8395  3 Dy 2.79-2.81
Se: 0.2260 0.4521 0.5813  5 Dy 2.91-2.95
Se: 0.0426 0.0851 0.1605  3 Dy 2.79-2.81
Se: 0.3153 0.6307 0.2500  2 Dy 2.71, 2 Na 2.95
Se: 0.6847 0.3693 0.7500  2 Dy 2.71, 2 Na 2.95
Dy: 0.8665 0.7330 0.9569  6 Se 2.79-2.93
Dy: 0.5951 0.1901 0.8637  5 Se 2.71-2.95
Se: 0.9574 0.9149 0.6605  3 Dy 2.79-2.81
Na: 0.6587 0.3173 0.2500  6 Se 2.95-3.21
Se: 0.5000 0.0000 0.5000  6 Dy 2.88-3.18
Dy: 0.4049 0.8099 0.1363  5 Se 2.71-2.95
Dy: 0.4049 0.8099 0.3637  5 Se 2.71-2.95
Se: 0.2260 0.4521 0.9187  5 Dy 2.91-2.95
Dy: 0.1335 0.2670 0.0431  6 Se 2.79-2.93
Se: 0.7740 0.5479 0.0813  5 Dy 2.91-2.95
Dy: 0.1335 0.2670 0.4569  6 Se 2.79-2.93
Se: 0.7740 0.5479 0.4187  5 Dy 2.91-2.95
Se: 0.0426 0.0851 0.3395  3 Dy 2.79-2.81
Dy: 0.8665 0.7330 0.5431  6 Se 2.79-2.93

**DFT total energy**: -5.448 eV per atom
**Raw formation energy**: -19.3 eV/f.u.
**Volume**: 26.8 Å³/atom

=====

(6)
Material: ZrAgP2
Method: DFT, PBE
State: relaxed

Lattice parameters (Å, degrees): 3.6960 3.6984 6.5211 55.34 90.00 90.00
Last column: nearest neighbours and their distance in Å.
Positions (direct):
P: 0.5000 0.1751 0.3269  2 Ag 2.64-2.72, 4 Zr 2.68
Zr: 0.0000 0.5622 0.4399  6 P 2.54-2.82
Ag: 0.5000 0.6789 0.8195  6 P 2.64-2.72
P: 0.0000 0.0839 0.9137  2 Zr 2.54-2.82, 4 Ag 2.66

**DFT total energy**: -6.017 eV per atom
**Offset from the most stable computed form**: 0.0 meV/atom
**Volume**: 18.3 Å³/atom
**Energy of formation from the pure elements**: -0.462 eV/atom

=====

(7)
Material: ZrMoS3
Method: DFT, PBE
State: relaxed

Lattice parameters (Å, degrees): 5.8748 5.8748 7.2457 66.08 66.08 60.00
Last column: nearest neighbours and their distance in Å.
Positions (direct):
S: 0.0770 0.7397 0.7637  2 Mo 2.45-2.47, 2 Zr 2.58-2.60
Mo: 0.3329 0.3329 0.0014  6 S 2.45-2.47
S: 0.4196 0.0770 0.7637  2 Mo 2.45-2.47, 2 Zr 2.58-2.60
S: 0.9230 0.5804 0.2363  2 Mo 2.45-2.47, 2 Zr 2.58-2.60
Zr: 0.8345 0.8345 0.4966  6 S 2.58-2.60
Mo: 0.6671 0.6671 0.9986  6 S 2.45-2.47
S: 0.7397 0.4196 0.7637  2 Mo 2.45-2.47, 2 Zr 2.58-2.60
S: 0.5804 0.2603 0.2363  2 Mo 2.45-2.47, 2 Zr 2.58-2.60
S: 0.2603 0.9230 0.2363  2 Mo 2.45-2.47, 2 Zr 2.58-2.60
Zr: 0.1655 0.1655 0.5034  6 S 2.58-2.60

**DFT total energy**: -7.201 eV per atom
**Raw formation energy**: -4.2 eV/f.u.
**Offset from the most stable computed form**: 0.0 meV/atom
**Volume**: 19.1 Å³/atom

=====

(8)
Material: Sr2CuSi4Pt3
Method: DFT, PBE
State: relaxed

Lattice parameters (Å, degrees): 4.2904 4.2904 10.0370 90.00 90.00 90.00
Last column: nearest neighbours and their distance in Å.
Positions (direct):
Sr: 0.0000 0.5000 0.7506  8 Si 3.28-3.30, 6 Pt 3.29-3.31, 2 Cu 3.31
Si: 0.0000 0.0000 0.0000  4 Pt 2.47
Si: 0.5000 0.0000 0.6262  2 Cu 2.49, 3 Pt 2.49-2.53
Sr: 0.5000 0.0000 0.2494  8 Si 3.28-3.30, 6 Pt 3.29-3.31, 2 Cu 3.31
Si: 0.0000 0.5000 0.3738  2 Cu 2.49, 3 Pt 2.49-2.53
Pt: 0.0000 0.5000 0.1222  5 Si 2.47-2.53
Cu: 0.5000 0.5000 0.5000  4 Si 2.49
Pt: 0.5000 0.0000 0.8778  5 Si 2.47-2.53
Si: 0.5000 0.5000 0.0000  4 Pt 2.47
Pt: 0.0000 0.0000 0.5000  4 Si 2.49

**DFT total energy**: -5.522 eV per atom
**Raw formation energy**: -7.9 eV/f.u.
**Volume**: 18.5 Å³/atom

=====

(9)
Material: AcDySe2S
Method: DFT, PBE
State: relaxed

Lattice parameters (Å, degrees): 4.3317 4.3317 14.9533 90.00 90.00 90.00
Last column: nearest neighbours and their distance in Å.
Positions (direct):
Ac: 0.5000 0.0000 0.6289  4 S 2.90
Se: 0.5000 0.0000 0.9068  5 Dy 2.94-3.07
S: 0.5000 0.5000 0.5000  4 Ac 2.90, 4 S 3.06
Dy: 0.5000 0.0000 0.1031  2 Se 2.70-2.94
Se: 0.0000 0.5000 0.7161  1 Dy 2.70
Ac: 0.0000 0.5000 0.3711  4 S 2.90
Se: 0.0000 0.5000 0.0932  5 Dy 2.94-3.07
Dy: 0.0000 0.5000 0.8969  2 Se 2.70-2.94
S: 0.0000 0.0000 0.5000  4 Ac 2.90, 4 S 3.06
Se: 0.5000 0.0000 0.2839  1 Dy 2.70

**DFT total energy**: -5.762 eV per atom
**Raw formation energy**: -9.0 eV/f.u.
**Volume**: 28.1 Å³/atom

=====

(10)
Material: CaLa2GaH
Method: DFT, PBE
State: relaxed

Lattice parameters (Å, degrees): 4.9476 4.9476 5.0369 90.00 90.00 90.00
Last column: nearest neighbours and their distance in Å.
Positions (direct):
La: 0.5000 0.0000 0.0000  2 H 2.47
La: 0.0000 0.5000 0.0000  2 H 2.47
Ca: 0.0000 0.0000 0.5000  2 H 2.52
H: 0.0000 0.0000 0.0000  4 La 2.47, 2 Ca 2.52
Ga: 0.5000 0.5000 0.5000  4 Ca 3.50, 8 La 3.53

**DFT total energy**: -3.956 eV per atom
**Volume**: 24.7 Å³/atom

=====

(11)
Material: NdPuHgPd
Method: DFT, PBE
State: relaxed

Lattice parameters (Å, degrees): 5.2298 5.2298 5.2298 60.00 60.00 60.00
Last column: nearest neighbours and their distance in Å.
Positions (direct):
Nd: 0.7500 0.7500 0.7500  4 Pd 3.20, 4 Hg 3.20
Pd: 0.0000 0.0000 0.0000  4 Pu 3.20, 4 Nd 3.20
Hg: 0.5000 0.5000 0.5000  4 Nd 3.20, 4 Pu 3.20
Pu: 0.2500 0.2500 0.2500  4 Hg 3.20, 4 Pd 3.20

**DFT total energy**: -6.508 eV per atom
**Volume**: 25.3 Å³/atom
**Energy of formation from the pure elements**: -0.359 eV/atom

=====

(12)
Material: TeRh2Pb
Method: DFT, PBE
State: relaxed

Lattice parameters (Å, degrees): 5.0522 3.3899 4.6892 89.90 90.00 90.00
Last column: nearest neighbours and their distance in Å.
Positions (direct):
Te: 0.0000 0.6250 0.5512  4 Rh 2.60-2.69
Rh: 0.5000 0.6257 0.7454  2 Te 2.69, 4 Pb 2.84-2.95
Rh: 0.0000 0.1239 0.9718  2 Te 2.60, 2 Pb 2.80
Pb: 0.5000 0.1254 0.2316  6 Rh 2.80-2.95

**DFT total energy**: -5.435 eV per atom
**Raw formation energy**: -0.2 eV/f.u.
**Offset from the most stable computed form**: 187.4 meV/atom
**Volume**: 20.1 Å³/atom

=====

(13)
Material: YInSe3
Method: DFT, PBE
State: relaxed

Lattice parameters (Å, degrees): 5.5296 5.5296 5.5296 90.00 90.00 90.00
Last column: nearest neighbours and their distance in Å.
Positions (direct):
Y: 0.0000 0.0000 0.0000  6 Se 2.76
Se: 0.0000 0.0000 0.5000  2 Y 2.76
Se: 0.5000 0.0000 0.0000  2 Y 2.76
In: 0.5000 0.5000 0.5000  12 Se 3.91
Se: 0.0000 0.5000 0.0000  2 Y 2.76

**DFT total energy**: -4.532 eV per atom
**Raw formation energy**: -3.0 eV/f.u.
**Offset from the most stable computed form**: 591.8 meV/atom
**Volume**: 33.8 Å³/atom

=====

(14)
Material: MgZrBr
Method: DFT, PBE
State: relaxed

Lattice parameters (Å, degrees): 3.3876 3.3875 15.5135 90.00 90.00 120.00
Last column: nearest neighbours and their distance in Å.
Positions (direct):
Zr: 0.7661 0.5322 0.3375  3 Br 2.76
Mg: 0.5033 0.0066 0.0000  6 Mg 3.39, 4 Br 3.74
Mg: 0.4328 0.8655 0.5000  6 Zr 3.19, 6 Mg 3.39
Br: 0.0992 0.1983 0.2115  3 Zr 2.76
Zr: 0.7661 0.5322 0.6625  3 Br 2.76
Br: 0.0992 0.1983 0.7885  3 Zr 2.76

**DFT total energy**: -4.365 eV per atom
**Raw formation energy**: -1.3 eV/f.u.
**Offset from the most stable computed form**: 26.2 meV/atom
**Volume**: 25.7 Å³/atom

=====

(15)
Material: KCrBSe2
Method: DFT, PBE
State: relaxed

Lattice parameters (Å, degrees): 4.6436 6.1690 4.6436 90.00 90.00 90.00
Last column: nearest neighbours and their distance in Å.
Positions (direct):
Se: 0.0000 0.0000 0.5000  2 Cr 2.32
Se: 0.5000 0.0000 0.0000  2 Cr 2.32
B: 0.5000 0.5000 0.5000  4 K 3.28
Cr: 0.0000 0.0000 0.0000  4 Se 2.32
K: 0.0000 0.5000 0.0000  2 Cr 3.08, 4 B 3.28

**DFT total energy**: -3.783 eV per atom
**Raw formation energy**: 5.5 eV/f.u.
**Volume**: 26.6 Å³/atom

=====

(16)
Material: Y3UN4
Method: DFT, PBE
State: relaxed

Lattice parameters (Å, degrees): 3.4663 5.9878 5.9878 109.00 90.00 90.00
Last column: nearest neighbours and their distance in Å.
Positions (direct):
N: 0.0000 0.7612 0.7612  2 U 2.40, 4 Y 2.44-2.51
N: 0.5000 0.7635 0.2365  1 U 2.31, 5 Y 2.46-2.57
U: 0.5000 0.0000 0.0000  6 N 2.31-2.40
Y: 0.5000 0.5000 0.5000  6 N 2.51-2.57
N: 0.5000 0.2365 0.7635  1 U 2.31, 5 Y 2.46-2.57
Y: 0.0000 0.0000 0.5000  6 N 2.44-2.46
Y: 0.0000 0.5000 0.0000  6 N 2.44-2.46
N: 0.0000 0.2388 0.2388  2 U 2.40, 4 Y 2.44-2.51

**DFT total energy**: -9.611 eV per atom
**Raw formation energy**: -12.9 eV/f.u.
**Volume**: 14.7 Å³/atom

=====

(17)
Material: Pr2SbPb
Method: DFT, PBE
State: relaxed

Lattice parameters (Å, degrees): 4.3373 4.3373 8.8375 75.79 75.79 60.00
Last column: nearest neighbours and their distance in Å.
Positions (direct):
Pr: 0.0758 0.0758 0.7727  3 Sb 3.14, 3 Pb 3.39
Pr: 0.2576 0.2576 0.2273  3 Sb 3.17, 3 Pb 3.43
Sb: 0.6677 0.6677 0.9970  6 Pr 3.14-3.17
Pb: 0.4990 0.4990 0.5031  6 Pr 3.39-3.43

**DFT total energy**: -5.071 eV per atom
**Raw formation energy**: -2.9 eV/f.u.
**Offset from the most stable computed form**: 163.0 meV/atom
**Volume**: 34.5 Å³/atom

=====

(18)
Material: HfMn3P2
Method: DFT, PBE
State: relaxed

Lattice parameters (Å, degrees): 3.5796 7.7163 9.1171 106.66 90.00 103.41
Last column: nearest neighbours and their distance in Å.
Positions (direct):
Hf: 0.8434 0.6869 0.3026  6 P 2.71-2.84, 5 Mn 2.92-3.02
Mn: 0.6800 0.3600 0.9734  4 P 2.26-2.30
P: 0.4586 0.9171 0.2116  5 Mn 2.26-2.52
P: 0.7978 0.5957 0.8610  6 Mn 2.27-2.35
Mn: 0.5000 0.0000 0.5000  2 P 2.24, 4 Mn 2.50
Mn: 0.7883 0.5766 0.6083  4 P 2.18-2.28, 1 Mn 2.43
Mn: 0.0437 0.0874 0.3430  4 P 2.32-2.39, 3 Mn 2.43-2.50
Mn: 0.3200 0.6400 0.0266  4 P 2.26-2.30
Mn: 0.6197 0.2394 0.2053  4 P 2.32-2.44, 3 Mn 2.53-2.57
Hf: 0.1566 0.3131 0.6974  6 P 2.71-2.84, 5 Mn 2.92-3.02
P: 0.3574 0.7148 0.5316  7 Mn 2.18-2.39
P: 0.5414 0.0829 0.7884  5 Mn 2.26-2.52
Mn: 0.9563 0.9126 0.6570  4 P 2.32-2.39, 3 Mn 2.43-2.50
P: 0.2022 0.4043 0.1390  6 Mn 2.27-2.35
Mn: 0.3803 0.7606 0.7947  4 P 2.32-2.44, 3 Mn 2.53-2.57
P: 0.6426 0.2852 0.4684  7 Mn 2.18-2.39
Mn: 0.2117 0.4234 0.3917  4 P 2.18-2.28, 1 Mn 2.43
Hf: 0.0000 0.0000 0.0000  6 Mn 2.82-3.00, 6 P 2.83-2.92

**DFT total energy**: -8.764 eV per atom
**Volume**: 13.0 Å³/atom
**Energy of formation from the pure elements**: -0.717 eV/atom

=====

(19)
Material: CaAl3Br
Method: DFT, PBE
State: relaxed

Lattice parameters (Å, degrees): 5.9147 5.9147 5.9147 90.00 90.00 90.00
Last column: nearest neighbours and their distance in Å.
Positions (direct):
Ca: 0.0000 0.0000 0.0000  6 Al 2.96
Al: 0.0000 0.5000 0.0000  2 Ca 2.96
Al: 0.5000 0.0000 0.0000  2 Ca 2.96
Br: 0.5000 0.5000 0.5000  12 Al 4.18
Al: 0.0000 0.0000 0.5000  2 Ca 2.96

**DFT total energy**: -2.005 eV per atom
**Raw formation energy**: 4.9 eV/f.u.
**Offset from the most stable computed form**: 502.2 meV/atom
**Volume**: 41.4 Å³/atom

=====

(20)
Material: Sm5Bi2Se2
Method: DFT, PBE
State: relaxed

Lattice parameters (Å, degrees): 8.1804 8.1409 8.7321 117.78 90.00 90.00
Last column: nearest neighbours and their distance in Å.
Positions (direct):
Bi: 0.0000 0.2039 0.4078  7 Sm 3.15-3.31
Sm: 0.5000 0.5000 0.0000  4 Se 3.12-3.15, 2 Bi 3.15
Bi: 0.5000 0.7039 0.4078  7 Sm 3.15-3.31
Sm: 0.3416 0.7179 0.7499  3 Se 3.00-3.13, 3 Bi 3.21-3.31
Se: 0.8571 0.3554 0.0000  8 Sm 3.00-3.15, 1 Se 3.32
Se: 0.3571 0.1446 0.0000  8 Sm 3.00-3.15, 1 Se 3.32
Sm: 0.8416 0.7821 0.2501  3 Se 3.00-3.13, 3 Bi 3.21-3.31
Sm: 0.0000 0.0000 0.0000  4 Se 3.12-3.15, 2 Bi 3.15
Sm: 0.3416 0.9680 0.2501  3 Se 3.00-3.13, 3 Bi 3.21-3.31
Se: 0.1429 0.6446 0.0000  8 Sm 3.00-3.15, 1 Se 3.32
Sm: 0.8416 0.5320 0.7499  3 Se 3.00-3.13, 3 Bi 3.21-3.31
Sm: 0.1584 0.2179 0.7499  3 Se 3.00-3.13, 3 Bi 3.21-3.31
Sm: 0.6584 0.2821 0.2501  3 Se 3.00-3.13, 3 Bi 3.21-3.31
Bi: 0.0000 0.7961 0.5922  7 Sm 3.15-3.31
Se: 0.6429 0.8554 0.0000  8 Sm 3.00-3.15, 1 Se 3.32
Sm: 0.1584 0.4680 0.2501  3 Se 3.00-3.13, 3 Bi 3.21-3.31
Sm: 0.6584 0.0320 0.7499  3 Se 3.00-3.13, 3 Bi 3.21-3.31
Bi: 0.5000 0.2961 0.5922  7 Sm 3.15-3.31

**DFT total energy**: -5.368 eV per atom
**Raw formation energy**: -10.0 eV/f.u.
**Volume**: 28.6 Å³/atom